1.
This record from the Alexandria database describes a relaxed structure of HfScGe. The functional is PBE.

Unit cell a=4.542 b=4.542 c=6.952 alpha=90.00 beta=90.00 gamma=120.00
Positions (direct):
Hf 0.333 0.667 0.385
Hf 0.667 0.333 0.615
Sc 0.333 0.667 0.875
Sc 0.667 0.333 0.125
Ge 0.000 0.000 0.250
Ge 0.000 0.000 0.750

2.
This record from the Alexandria database describes a relaxed structure of HfScGe2. The functional is PBE.

Calculated values
Offset from the most stable computed form: 122 meV/atom

Unit cell a=6.893 b=6.893 c=6.893 alpha=32.08 beta=32.08 gamma=32.08
Positions (direct):
Hf 0.000 0.000 0.000
Sc 0.500 0.500 0.500
Ge 0.251 0.251 0.251
Ge 0.749 0.749 0.749

3.
This record from the Alexandria database describes a relaxed structure of Hf5Sc5Ge6. The functional is PBE.

Calculated values
Offset from the most stable computed form: 3 meV/atom

Unit cell a=5.733 b=7.990 c=7.990 alpha=120.11 beta=90.00 gamma=90.00
Positions (direct):
Hf 0.000 0.000 0.000
Hf 0.250 0.582 0.914
Hf 0.250 0.914 0.582
Hf 0.750 0.582 0.914
Hf 0.750 0.914 0.582
Sc 0.000 0.245 0.489
Sc 0.000 0.489 0.245
Sc 0.500 0.002 0.246
Sc 0.500 0.246 0.002
Sc 0.500 0.492 0.492
Ge 0.000 0.247 0.855
Ge 0.000 0.639 0.639
Ge 0.000 0.855 0.247
Ge 0.500 0.247 0.639
Ge 0.500 0.639 0.247
Ge 0.500 0.856 0.856

4.
This record from the Alexandria database describes a relaxed structure of HfSc3Ge. The functional is PBE.

Calculated values
Offset from the most stable computed form: 631 meV/atom

Unit cell a=5.146 b=5.146 c=5.146 alpha=90.00 beta=90.00 gamma=90.00
Positions (direct):
Hf 0.000 0.000 0.000
Sc 0.000 0.000 0.500
Sc 0.000 0.500 0.000
Sc 0.500 0.000 0.000
Ge 0.500 0.500 0.500

5.
This record from the Alexandria database describes a relaxed structure of HfScGe2. The functional is PBE.

Calculated values
Offset from the most stable computed form: 0 meV/atom

Unit cell a=3.839 b=5.406 c=5.406 alpha=42.06 beta=90.00 gamma=90.00
Positions (direct):
Hf 0.000 0.000 0.000
Sc 0.500 0.274 0.274
Ge 0.000 0.728 0.728
Ge 0.500 0.543 0.543

6.
This record from the Alexandria database describes a relaxed structure of HfScGe2. The functional is PBE.

Calculated values
Offset from the most stable computed form: 69 meV/atom

Unit cell a=8.221 b=7.133 c=5.591 alpha=90.00 beta=90.00 gamma=90.00
Positions (direct):
Hf 0.121 0.079 0.250
Hf 0.121 0.421 0.750
Hf 0.879 0.579 0.250
Hf 0.879 0.921 0.750
Sc 0.375 0.586 0.250
Sc 0.375 0.914 0.750
Sc 0.625 0.086 0.250
Sc 0.625 0.414 0.750
Ge 0.124 0.750 0.000
Ge 0.124 0.750 0.500
Ge 0.370 0.250 0.000
Ge 0.370 0.250 0.500
Ge 0.630 0.750 0.000
Ge 0.630 0.750 0.500
Ge 0.876 0.250 0.000
Ge 0.876 0.250 0.500

7.
This record from the Alexandria database describes a relaxed structure of Hf3Sc2Ge4. The functional is PBE.

Unit cell a=7.286 b=7.277 c=7.022 alpha=90.00 beta=110.30 gamma=90.00
Positions (direct):
Hf 0.000 0.000 0.000
Hf 0.000 0.500 0.500
Hf 0.250 0.177 0.756
Hf 0.250 0.323 0.256
Hf 0.750 0.677 0.744
Hf 0.750 0.823 0.244
Sc 0.314 0.673 0.941
Sc 0.314 0.827 0.441
Sc 0.686 0.173 0.559
Sc 0.686 0.327 0.059
Ge 0.022 0.636 0.140
Ge 0.022 0.864 0.640
Ge 0.418 0.029 0.157
Ge 0.418 0.471 0.657
Ge 0.582 0.529 0.343
Ge 0.582 0.971 0.843
Ge 0.978 0.136 0.360
Ge 0.978 0.364 0.860

8.
This record from the Alexandria database describes a relaxed structure of HfScGe. The functional is PBE.

Unit cell a=6.962 b=6.895 c=7.633 alpha=57.00 beta=56.16 gamma=66.84
Positions (direct):
Hf 0.289 0.711 0.428
Hf 0.678 0.822 0.539
Hf 0.711 0.289 0.572
Hf 0.822 0.678 0.961
Sc 0.042 0.177 0.116
Sc 0.134 0.584 0.208
Sc 0.177 0.042 0.666
Sc 0.584 0.134 0.073
Ge 0.323 0.538 0.817
Ge 0.433 0.929 0.927
Ge 0.538 0.323 0.321
Ge 0.929 0.433 0.712

9.
This record from the Alexandria database describes a relaxed structure of HfScGe2. The functional is PBE.

Calculated values
Offset from the most stable computed form: 340 meV/atom

Unit cell a=5.988 b=5.988 c=5.988 alpha=104.80 beta=104.80 gamma=119.28
Positions (direct):
Hf 0.000 0.000 0.000
Hf 0.750 0.250 0.500
Sc 0.250 0.750 0.500
Sc 0.500 0.500 0.000
Ge 0.124 0.625 0.999
Ge 0.375 0.374 0.499
Ge 0.626 0.125 0.001
Ge 0.875 0.876 0.501

10.
This record from the Alexandria database describes a relaxed structure of Hf5Sc5Ge6. The functional is PBE.

Calculated values
Offset from the most stable computed form: 0 meV/atom

Unit cell a=5.652 b=7.954 c=7.954 alpha=119.80 beta=90.00 gamma=90.00
Positions (direct):
Hf 0.000 0.000 0.000
Hf 0.000 0.243 0.489
Hf 0.000 0.489 0.243
Hf 0.500 0.244 0.997
Hf 0.500 0.997 0.244
Sc 0.249 0.579 0.912
Sc 0.249 0.912 0.579
Sc 0.500 0.492 0.492
Sc 0.751 0.579 0.912
Sc 0.751 0.912 0.579
Ge 0.000 0.245 0.854
Ge 0.000 0.634 0.634
Ge 0.000 0.854 0.245
Ge 0.500 0.245 0.635
Ge 0.500 0.635 0.245
Ge 0.500 0.855 0.855

11.
This record from the Alexandria database describes a relaxed structure of Hf2Sc2Ge. The functional is PBE.

Unit cell a=7.114 b=7.114 c=4.508 alpha=90.00 beta=90.00 gamma=90.00
Positions (direct):
Hf 0.146 0.354 0.000
Hf 0.354 0.854 0.000
Hf 0.646 0.146 0.000
Hf 0.854 0.646 0.000
Sc 0.152 0.652 0.500
Sc 0.348 0.152 0.500
Sc 0.652 0.848 0.500
Sc 0.848 0.348 0.500
Ge 0.000 0.000 0.000
Ge 0.500 0.500 0.000

12.
This record from the Alexandria database describes a relaxed structure of Hf5ScGe4. The functional is PBE.

Unit cell a=8.047 b=8.047 c=6.760 alpha=103.06 beta=103.06 gamma=30.29
Positions (direct):
Hf 0.000 0.000 0.000
Hf 0.324 0.324 0.519
Hf 0.343 0.343 0.025
Hf 0.657 0.657 0.975
Hf 0.676 0.676 0.481
Sc 0.000 0.000 0.500
Ge 0.183 0.183 0.734
Ge 0.482 0.482 0.750
Ge 0.518 0.518 0.250
Ge 0.817 0.817 0.266

Results for formation energy from the elements: -6.10 -14.09 -17.11 20.28 -16.90 -15.30 -17.78 -9.78 -9.07 -17.19 -2.31 -7.31 (in kcal/mol of atoms, following the order of the records).